# 1
22
Lattice="-4.3758 4.3758 4.3758 4.3758 -4.3758 4.3758 4.3758 4.3758 -4.3758" Properties=species:S:1:pos:R:3 comment="Eu3Si2Ni6 (SCAN, single point on PBEsol structure)" e_form_raw_ev_per_atom=-0.377 dos_at_fermi_per_ev_cell=31.9 magnetic_moment_mub_per_atom=1.98 energy_ry_per_atom=-1.8866 pbc="T T T"
Eu 2.4788 0.0000 0.0000
Eu 6.2729 0.0000 0.0000
Eu 0.0000 2.4788 0.0000
Eu 0.0000 0.0000 2.4788
Eu 0.0000 6.2729 0.0000
Eu 0.0000 0.0000 6.2729
Si 2.1879 2.1879 -2.1879
Si 2.1879 -2.1879 2.1879
Si -2.1879 2.1879 2.1879
Si 2.1879 2.1879 2.1879
Ni 4.3758 1.4798 -1.4798
Ni 4.3758 -1.4798 1.4798
Ni 1.4798 4.3758 -1.4798
Ni 2.8960 2.8960 0.0000
Ni 2.8960 0.0000 2.8960
Ni 1.4798 -1.4798 4.3758
Ni 4.3758 1.4798 1.4798
Ni 0.0000 2.8960 2.8960
Ni -1.4798 4.3758 1.4798
Ni -1.4798 1.4798 4.3758
Ni 1.4798 4.3758 1.4798
Ni 1.4798 1.4798 4.3758

# 2
5
Lattice="-2.0479 2.0479 4.7411 2.0479 -2.0479 4.7411 2.0479 2.0479 -4.7411" Properties=species:S:1:pos:R:3 comment="EuSi3Ni (SCAN, single point on PBEsol structure)" e_form_raw_ev_per_atom=-0.568 dos_at_fermi_per_ev_cell=1.6 magnetic_moment_mub_per_atom=1.34 energy_ry_per_atom=-1.5107 pbc="T T T"
Eu 0.0000 0.0000 0.0000
Si 2.0479 0.0000 2.4265
Si 0.0000 0.0000 3.9239
Si 0.0000 2.0479 2.4265
Ni 0.0000 0.0000 6.1760

# 3
8
Lattice="2.0460 -8.1683 0.0000 2.0460 8.1683 0.0000 0.0000 0.0000 3.9960" Properties=species:S:1:pos:R:3 comment="EuSi2Ni (SCAN, single point on PBEsol structure)" e_form_raw_ev_per_atom=-0.671 dos_at_fermi_per_ev_cell=13.3 magnetic_moment_mub_per_atom=1.72 energy_ry_per_atom=-1.7015 pbc="T T T"
Eu 2.0460 6.4180 2.9970
Eu 2.0460 -6.4180 0.9990
Si 2.0460 4.0892 0.9990
Si 2.0460 0.6770 2.9970
Si 2.0460 -0.6770 0.9990
Si 2.0460 -4.0892 2.9970
Ni 2.0460 2.9481 2.9970
Ni 2.0460 -2.9481 0.9990